No. 1
Here is an optimized crystal structure of BaOsO2 from the Alexandria database. Energies are from PBE.

ΔE_f (raw), eV/atom: -1.238
Calculated volume, Å³ per cell: 280.72
Symmetry: R-3m
Density of states at the Fermi level, states/eV per cell: 0.00
Energy, eV per atom: -7.01

Lattice parameters (Å, degrees): 4.6666 4.6666 14.8844 90.00 90.00 120.00
Sites, in units of the cell vectors:
Ba  0.0000  0.0000  0.0000
Ba  0.3333  0.6667  0.6667
Ba  0.6667  0.3333  0.3333
Os  0.0000  0.0000  0.5000
Os  0.3333  0.6667  0.1667
Os  0.6667  0.3333  0.8333
O  0.0000  0.0000  0.3817
O  0.0000  0.0000  0.6183
O  0.3333  0.6667  0.0484
O  0.3333  0.6667  0.2850
O  0.6667  0.3333  0.7150
O  0.6667  0.3333  0.9516

***

No. 2
Here is an optimized crystal structure of AsH2W from the Alexandria database. Energies are from PBE.

Energy above the most stable polymorph in this dataset, meV per atom: 251
Calculated volume, Å³ per cell: 162.67
Symmetry: I-42d
Density of states at the Fermi level, states/eV per cell: 6.07
Energy, eV per atom: -5.70

Lattice parameters (Å, degrees): 5.7010 5.7010 5.0050 90.00 90.00 90.00
Sites, in units of the cell vectors:
As  0.0000  0.0000  0.0000
As  0.0000  0.5000  0.2500
As  0.5000  0.0000  0.7500
As  0.5000  0.5000  0.5000
H  0.1744  0.7500  0.6250
H  0.2500  0.1744  0.3750
H  0.2500  0.3256  0.8750
H  0.3256  0.7500  0.1250
H  0.6744  0.2500  0.1250
H  0.7500  0.6744  0.8750
H  0.7500  0.8256  0.3750
H  0.8256  0.2500  0.6250
W  0.0000  0.0000  0.5000
W  0.0000  0.5000  0.7500
W  0.5000  0.0000  0.2500
W  0.5000  0.5000  0.0000

***

No. 3
Here is an optimized crystal structure of LiAc2NdTe4 from the Alexandria database. Energies are from PBE.

ΔE_f (raw), eV/atom: -1.409
Calculated volume, Å³ per cell: 273.67
Symmetry: P2/m
Density of states at the Fermi level, states/eV per cell: 3.00
Energy, eV per atom: -4.84

Lattice parameters (Å, degrees): 7.8440 4.6048 8.0474 90.00 109.69 90.00
Sites, in units of the cell vectors:
Li  0.0000  0.0000  0.0000
Ac  0.5000  0.0000  0.5000
Ac  0.5000  0.5000  0.0000
Nd  0.0000  0.5000  0.5000
Te  0.2267  0.5000  0.2363
Te  0.2302  0.0000  0.7511
Te  0.7698  0.0000  0.2489
Te  0.7733  0.5000  0.7637

***

No. 4
Here is an optimized crystal structure of La2HgOsO8 from the Alexandria database. Energies are from PBE.

ΔE_f (raw), eV/atom: -1.897
Calculated volume, Å³ per cell: 185.10
Symmetry: P-1
Energy, eV per atom: -6.98

Lattice parameters (Å, degrees): 4.8865 4.8966 7.7897 93.29 93.28 94.66
Sites, in units of the cell vectors:
La  0.0503  0.0492  0.2498
La  0.9497  0.9508  0.7502
Hg  0.5000  0.5000  0.0000
Os  0.5000  0.5000  0.5000
O  0.1960  0.1958  0.9821
O  0.2259  0.2286  0.5436
O  0.2619  0.6222  0.3276
O  0.3782  0.7400  0.6714
O  0.6218  0.2600  0.3286
O  0.7381  0.3778  0.6724
O  0.7741  0.7714  0.4564
O  0.8040  0.8042  0.0179

***

No. 5
Here is an optimized crystal structure of BaZn2CdAu5 from the Alexandria database. Energies are from PBE.

Calculated volume, Å³ per cell: 204.66
Symmetry: P4/mmm
Calculated formation energy, eV/atom: -0.250
Density of states at the Fermi level, states/eV per cell: 2.45
Energy, eV per atom: -2.67

Lattice parameters (Å, degrees): 5.0931 5.0931 7.8900 90.00 90.00 90.00
Sites, in units of the cell vectors:
Ba  0.0000  0.0000  0.0000
Zn  0.5000  0.5000  0.3268
Zn  0.5000  0.5000  0.6732
Cd  0.0000  0.0000  0.5000
Au  0.0000  0.5000  0.3103
Au  0.0000  0.5000  0.6897
Au  0.5000  0.0000  0.3103
Au  0.5000  0.0000  0.6897
Au  0.5000  0.5000  0.0000

***

No. 6
Here is an optimized crystal structure of Sm6CoI12 from the Alexandria database. Energies are from PBE.

ΔE_f (raw), eV/atom: -0.943
Calculated volume, Å³ per cell: 703.25
Symmetry: R-3m
Density of states at the Fermi level, states/eV per cell: 5.93
Energy, eV per atom: -3.79

Lattice parameters (Å, degrees): 9.1568 9.1568 9.1568 75.27 75.27 75.27
Sites, in units of the cell vectors:
Sm  0.2832  0.2832  0.6800
Sm  0.2832  0.6800  0.2832
Sm  0.3200  0.7168  0.7168
Sm  0.6800  0.2832  0.2832
Sm  0.7168  0.3200  0.7168
Sm  0.7168  0.7168  0.3200
Co  0.5000  0.5000  0.5000
I  0.0542  0.0542  0.6731
I  0.0542  0.6731  0.0542
I  0.0733  0.6099  0.6099
I  0.3269  0.9458  0.9458
I  0.3901  0.3901  0.9267
I  0.3901  0.9267  0.3901
I  0.6099  0.0733  0.6099
I  0.6099  0.6099  0.0733
I  0.6731  0.0542  0.0542
I  0.9267  0.3901  0.3901
I  0.9458  0.3269  0.9458
I  0.9458  0.9458  0.3269

***

No. 7
Here is an optimized crystal structure of PuTe4Pb2 from the Alexandria database. Energies are from PBE.

ΔE_f (raw), eV/atom: -0.452
Energy above the most stable polymorph in this dataset, meV per atom: 30
Calculated volume, Å³ per cell: 516.16
Symmetry: P2_1/m
Density of states at the Fermi level, states/eV per cell: 28.93
Energy, eV per atom: -5.35

Lattice parameters (Å, degrees): 8.4442 6.2676 10.4973 90.00 111.71 90.00
Sites, in units of the cell vectors:
Pu  0.0135  0.2500  0.3453
Pu  0.9865  0.7500  0.6547
Te  0.0970  0.2500  0.6508
Te  0.2983  0.5053  0.2843
Te  0.2983  0.9947  0.2843
Te  0.3217  0.7500  0.9079
Te  0.6783  0.2500  0.0921
Te  0.7017  0.0053  0.7157
Te  0.7017  0.4947  0.7157
Te  0.9030  0.7500  0.3492
Pb  0.2906  0.2500  0.0011
Pb  0.3587  0.7500  0.5855
Pb  0.6413  0.2500  0.4145
Pb  0.7094  0.7500  0.9989

***

No. 8
Here is an optimized crystal structure of SrScSbBr2 from the Alexandria database. Energies are from PBE.

ΔE_f (raw), eV/atom: -0.650
Calculated volume, Å³ per cell: 221.77
Symmetry: P4/mmm
Density of states at the Fermi level, states/eV per cell: 8.47
Energy, eV per atom: -3.75

Lattice parameters (Å, degrees): 5.0673 5.0673 8.6366 90.00 90.00 90.00
Sites, in units of the cell vectors:
Sr  0.0000  0.0000  0.0000
Sc  0.0000  0.0000  0.5000
Sb  0.5000  0.5000  0.0000
Br  0.0000  0.5000  0.5000
Br  0.5000  0.0000  0.5000

***

No. 9
Here is an optimized crystal structure of Y4MgW from the Alexandria database. Energies are from PBE.

Calculated volume, Å³ per cell: 162.08
Symmetry: F-43m
Calculated formation energy, eV/atom: 0.879
Density of states at the Fermi level, states/eV per cell: 5.76
Energy, eV per atom: -5.86

Lattice parameters (Å, degrees): 6.1200 6.1200 6.1200 60.00 60.00 60.00
Sites, in units of the cell vectors:
Y  0.3767  0.3767  0.3767
Y  0.3767  0.3767  0.8700
Y  0.3767  0.8700  0.3767
Y  0.8700  0.3767  0.3767
Mg  0.0000  0.0000  0.0000
W  0.7500  0.7500  0.7500

***

No. 10
Here is an optimized crystal structure of Nd6HC3S2 from the Alexandria database. Energies are from PBE.

Calculated volume, Å³ per cell: 252.96
Symmetry: C2/m
Density of states at the Fermi level, states/eV per cell: 3.02
Energy, eV per atom: -6.49

Lattice parameters (Å, degrees): 8.8304 8.8304 7.9519 105.89 105.89 25.15
Sites, in units of the cell vectors:
Nd  0.0101  0.0101  0.2285
Nd  0.3253  0.3253  0.4381
Nd  0.3390  0.3390  0.9009
Nd  0.6610  0.6610  0.0991
Nd  0.6747  0.6747  0.5619
Nd  0.9899  0.9899  0.7715
H  0.5000  0.5000  0.5000
C  0.1676  0.1676  0.3323
C  0.5000  0.5000  0.0000
C  0.8324  0.8324  0.6677
S  0.1625  0.1625  0.8249
S  0.8375  0.8375  0.1751

***

No. 11
Here is an optimized crystal structure of KNbGe2P from the Alexandria database. Energies are from PBE.

Calculated volume, Å³ per cell: 126.53
Symmetry: P4/mmm
Calculated formation energy, eV/atom: 2.079
Density of states at the Fermi level, states/eV per cell: 6.62
Energy, eV per atom: -3.08

Lattice parameters (Å, degrees): 5.0335 5.0335 4.9940 90.00 90.00 90.00
Sites, in units of the cell vectors:
K  0.0000  0.0000  0.0000
Nb  0.5000  0.5000  0.5000
Ge  0.0000  0.5000  0.0000
Ge  0.5000  0.0000  0.0000
P  0.0000  0.0000  0.5000